An optimized crystal structure of CaTbY6, computed with PBE.

## Properties
energy of formation from the pure elements	0.224	eV per atom

abc: 6.6622 6.7507 6.7556
angles: 114.94 94.75 94.12
Last column: nearest neighbours and their distance in Å.
Space group P-1 (No. 2)
Unique sites:
Ca1 0.0000 0.0000 0.0000 (multiplicity 1)  2 Tb 3.33, 6 Y 3.67-3.69
Tb1 0.5000 0.0000 0.0000 (multiplicity 1)  2 Y 3.18, 2 Ca 3.33
Y1 0.2617 0.5881 0.5879 (multiplicity 2)  1 Tb 3.18, 5 Y 3.27-3.54
Y2 0.2724 0.0826 0.5292 (multiplicity 2)  4 Y 3.27-3.66
Y3 0.2735 0.5293 0.0825 (multiplicity 2)  4 Y 3.27-3.66